Record 1
# Tb2Pd13 | Alexandria via LeMat-Bulk | PBE | optimized geometry
data_Tb2Pd13
_cell_length_a 7.941
_cell_length_b 7.941
_cell_length_c 7.941
_cell_angle_alpha 55.25
_cell_angle_beta 55.25
_cell_angle_gamma 55.25
_symmetry_space_group_name_H-M 'P 1'
_symmetry_Int_Tables_number 1
loop_
_symmetry_equiv_pos_as_xyz
'x,y,z'
loop_
_atom_site_label
_atom_site_fract_x
_atom_site_fract_y
_atom_site_fract_z
Tb1 0.242 0.242 0.242
Tb2 0.758 0.758 0.758
Pd1 0.000 0.000 0.000
Pd2 0.018 0.018 0.645
Pd3 0.018 0.645 0.018
Pd4 0.240 0.240 0.611
Pd5 0.240 0.611 0.240
Pd6 0.355 0.982 0.982
Pd7 0.389 0.760 0.760
Pd8 0.611 0.240 0.240
Pd9 0.645 0.018 0.018
Pd10 0.760 0.389 0.760
Pd11 0.760 0.760 0.389
Pd12 0.982 0.355 0.982
Pd13 0.982 0.982 0.355
# E ... -76.968 eV per formula unit
# V ... 315.0 Å³/cell
# Density of states at the Fermi level ... 17.6 states/eV/f.u.
# Energy of formation from the pure elements ... -0.013 eV/atom
# Magnetization ... 0.0 μB/f.u.



Record 2
# BaInP2 | Alexandria via LeMat-Bulk | PBE | optimized geometry
data_BaInP2
_cell_length_a 4.972
_cell_length_b 4.972
_cell_length_c 8.227
_cell_angle_alpha 90.00
_cell_angle_beta 90.00
_cell_angle_gamma 90.00
_symmetry_space_group_name_H-M 'P 1'
_symmetry_Int_Tables_number 1
loop_
_symmetry_equiv_pos_as_xyz
'x,y,z'
loop_
_atom_site_label
_atom_site_fract_x
_atom_site_fract_y
_atom_site_fract_z
Ba1 0.000 0.000 0.000
Ba2 0.500 0.500 0.500
In1 0.000 0.000 0.500
In2 0.500 0.500 0.000
P1 0.000 0.500 0.250
P2 0.000 0.500 0.750
P3 0.500 0.000 0.250
P4 0.500 0.000 0.750
# E ... -15.718 eV per formula unit
# V ... 203.3 Å³/cell
# Density of states at the Fermi level ... 2.4 states/eV/f.u.
# Energy of formation from the pure elements ... -0.059 eV/atom
# Magnetization ... 0.0 μB/f.u.



Record 3
# Ru3Pt3W2 | Alexandria via LeMat-Bulk | PBE | optimized geometry
data_Ru3Pt3W2
_cell_length_a 3.907
_cell_length_b 3.980
_cell_length_c 7.673
_cell_angle_alpha 90.00
_cell_angle_beta 90.00
_cell_angle_gamma 90.00
_symmetry_space_group_name_H-M 'P 1'
_symmetry_Int_Tables_number 1
loop_
_symmetry_equiv_pos_as_xyz
'x,y,z'
loop_
_atom_site_label
_atom_site_fract_x
_atom_site_fract_y
_atom_site_fract_z
Ru1 0.000 0.000 0.000
Ru2 0.000 0.000 0.500
Ru3 0.500 0.500 0.000
Pt1 0.000 0.500 0.246
Pt2 0.000 0.500 0.754
Pt3 0.500 0.500 0.500
W1 0.500 0.000 0.243
W2 0.500 0.000 0.757
# E ... -73.272 eV per formula unit
# V ... 119.3 Å³/cell
# Density of states at the Fermi level ... 5.6 states/eV/f.u.
# Energy of formation from the pure elements ... -0.177 eV/atom
# Magnetization ... 0.0 μB/f.u.



Record 4
# Rb4La3TbSe8 | Alexandria via LeMat-Bulk | PBE | optimized geometry
data_Rb4La3TbSe8
_cell_length_a 9.489
_cell_length_b 9.489
_cell_length_c 9.489
_cell_angle_alpha 55.50
_cell_angle_beta 55.50
_cell_angle_gamma 55.50
_symmetry_space_group_name_H-M 'P 1'
_symmetry_Int_Tables_number 1
loop_
_symmetry_equiv_pos_as_xyz
'x,y,z'
loop_
_atom_site_label
_atom_site_fract_x
_atom_site_fract_y
_atom_site_fract_z
Rb1 0.000 0.000 0.000
Rb2 0.000 0.500 0.500
Rb3 0.500 0.000 0.500
Rb4 0.500 0.500 0.000
La1 0.000 0.000 0.500
La2 0.000 0.500 0.000
La3 0.500 0.000 0.000
Tb1 0.500 0.500 0.500
Se1 0.234 0.234 0.234
Se2 0.243 0.728 0.728
Se3 0.272 0.272 0.757
Se4 0.272 0.757 0.272
Se5 0.728 0.243 0.728
Se6 0.728 0.728 0.243
Se7 0.757 0.272 0.272
Se8 0.766 0.766 0.766
# E ... -79.851 eV per formula unit
# V ... 541.1 Å³/cell
# ΔE_f (raw) ... -28.69 eV/f.u.
# Density of states at the Fermi level ... 0.0 states/eV/f.u.
# Magnetization ... 0.0 μB/f.u.



Record 5
# Li4IN | Alexandria via LeMat-Bulk | PBE | optimized geometry
data_Li4IN
_cell_length_a 7.137
_cell_length_b 7.958
_cell_length_c 7.779
_cell_angle_alpha 90.00
_cell_angle_beta 90.00
_cell_angle_gamma 90.00
_symmetry_space_group_name_H-M 'P 1'
_symmetry_Int_Tables_number 1
loop_
_symmetry_equiv_pos_as_xyz
'x,y,z'
loop_
_atom_site_label
_atom_site_fract_x
_atom_site_fract_y
_atom_site_fract_z
Li1 0.021 0.250 0.000
Li2 0.021 0.250 0.500
Li3 0.034 0.506 0.250
Li4 0.034 0.994 0.750
Li5 0.267 0.521 0.527
Li6 0.267 0.521 0.973
Li7 0.267 0.979 0.027
Li8 0.267 0.979 0.473
Li9 0.733 0.021 0.527
Li10 0.733 0.021 0.973
Li11 0.733 0.479 0.027
Li12 0.733 0.479 0.473
Li13 0.966 0.006 0.250
Li14 0.966 0.494 0.750
Li15 0.979 0.750 0.000
Li16 0.979 0.750 0.500
I1 0.482 0.660 0.250
I2 0.482 0.840 0.750
I3 0.518 0.160 0.250
I4 0.518 0.340 0.750
N1 0.000 0.000 0.000
N2 0.000 0.000 0.500
N3 0.000 0.500 0.000
N4 0.000 0.500 0.500
# ΔE to the lowest computed polymorph ... 0 kJ/mol of formula units
# E ... -21.338 eV per formula unit
# V ... 441.8 Å³/cell
# ΔE_f (raw) ... -3.81 eV/f.u.
# Density of states at the Fermi level ... 0.0 states/eV/f.u.
# Magnetization ... 0.0 μB/f.u.



Record 6
# BeTcP2Cl | Alexandria via LeMat-Bulk | PBE | optimized geometry
data_BeTcP2Cl
_cell_length_a 4.268
_cell_length_b 4.268
_cell_length_c 4.468
_cell_angle_alpha 90.00
_cell_angle_beta 90.00
_cell_angle_gamma 90.00
_symmetry_space_group_name_H-M 'P 1'
_symmetry_Int_Tables_number 1
loop_
_symmetry_equiv_pos_as_xyz
'x,y,z'
loop_
_atom_site_label
_atom_site_fract_x
_atom_site_fract_y
_atom_site_fract_z
Be1 0.000 0.000 0.000
Tc1 0.500 0.500 0.500
P1 0.000 0.500 0.000
P2 0.500 0.000 0.000
Cl1 0.000 0.000 0.500
# ΔE to the lowest computed polymorph ... 50 kJ/mol of formula units
# E ... -22.548 eV per formula unit
# V ... 81.4 Å³/cell
# ΔE_f (raw) ... 4.21 eV/f.u.
# Density of states at the Fermi level ... 2.7 states/eV/f.u.
# Magnetization ... 2.6 μB/f.u.



Record 7
# Ho2ErPd3 | Alexandria via LeMat-Bulk | PBE | optimized geometry
data_Ho2ErPd3
_cell_length_a 4.978
_cell_length_b 14.934
_cell_length_c 3.419
_cell_angle_alpha 90.00
_cell_angle_beta 90.00
_cell_angle_gamma 90.00
_symmetry_space_group_name_H-M 'P 1'
_symmetry_Int_Tables_number 1
loop_
_symmetry_equiv_pos_as_xyz
'x,y,z'
loop_
_atom_site_label
_atom_site_fract_x
_atom_site_fract_y
_atom_site_fract_z
Ho1 0.000 0.167 0.000
Ho2 0.000 0.833 0.000
Ho3 0.500 0.333 0.000
Ho4 0.500 0.667 0.000
Er1 0.000 0.500 0.000
Er2 0.500 0.000 0.000
Pd1 0.000 0.000 0.500
Pd2 0.000 0.334 0.500
Pd3 0.000 0.666 0.500
Pd4 0.500 0.166 0.500
Pd5 0.500 0.500 0.500
Pd6 0.500 0.834 0.500
# ΔE to the lowest computed polymorph ... 0 kJ/mol of formula units
# E ... -34.778 eV per formula unit
# V ... 254.1 Å³/cell
# Density of states at the Fermi level ... 2.6 states/eV/f.u.
# Energy of formation from the pure elements ... -0.913 eV/atom
# Magnetization ... 0.0 μB/f.u.



Record 8
# CeNd2PuN4 | Alexandria via LeMat-Bulk | PBE | optimized geometry
data_CeNd2PuN4
_cell_length_a 6.200
_cell_length_b 3.578
_cell_length_c 6.213
_cell_angle_alpha 90.00
_cell_angle_beta 109.69
_cell_angle_gamma 90.00
_symmetry_space_group_name_H-M 'P 1'
_symmetry_Int_Tables_number 1
loop_
_symmetry_equiv_pos_as_xyz
'x,y,z'
loop_
_atom_site_label
_atom_site_fract_x
_atom_site_fract_y
_atom_site_fract_z
Ce1 0.000 0.000 0.000
Nd1 0.000 0.500 0.500
Nd2 0.500 0.000 0.500
Pu1 0.500 0.500 0.000
N1 0.246 0.500 0.232
N2 0.265 0.000 0.773
N3 0.735 0.000 0.227
N4 0.754 0.500 0.768
# E ... -74.133 eV per formula unit
# V ... 129.8 Å³/cell
# ΔE_f (raw) ... -11.03 eV/f.u.
# Density of states at the Fermi level ... 9.1 states/eV/f.u.
# Magnetization ... 4.9 μB/f.u.



Record 9
# NaSe2SBr | Alexandria via LeMat-Bulk | PBE | optimized geometry
data_NaSe2SBr
_cell_length_a 4.940
_cell_length_b 4.940
_cell_length_c 5.397
_cell_angle_alpha 90.00
_cell_angle_beta 90.00
_cell_angle_gamma 90.00
_symmetry_space_group_name_H-M 'P 1'
_symmetry_Int_Tables_number 1
loop_
_symmetry_equiv_pos_as_xyz
'x,y,z'
loop_
_atom_site_label
_atom_site_fract_x
_atom_site_fract_y
_atom_site_fract_z
Na1 0.000 0.000 0.000
Se1 0.000 0.500 0.500
Se2 0.500 0.000 0.500
S1 0.500 0.500 0.500
Br1 0.500 0.500 0.000
# ΔE to the lowest computed polymorph ... 0 kJ/mol of formula units
# E ... -14.300 eV per formula unit
# V ... 131.7 Å³/cell
# ΔE_f (raw) ... -0.21 eV/f.u.
# Density of states at the Fermi level ... 4.4 states/eV/f.u.
# Magnetization ... 0.4 μB/f.u.



Record 10
# CeTmPaGa | Alexandria via LeMat-Bulk | PBE | optimized geometry
data_CeTmPaGa
_cell_length_a 7.320
_cell_length_b 7.320
_cell_length_c 7.320
_cell_angle_alpha 90.00
_cell_angle_beta 90.00
_cell_angle_gamma 90.00
_symmetry_space_group_name_H-M 'P 1'
_symmetry_Int_Tables_number 1
loop_
_symmetry_equiv_pos_as_xyz
'x,y,z'
loop_
_atom_site_label
_atom_site_fract_x
_atom_site_fract_y
_atom_site_fract_z
Ce1 0.000 0.000 0.000
Ce2 0.000 0.500 0.500
Ce3 0.500 0.000 0.500
Ce4 0.500 0.500 0.000
Tm1 0.000 0.000 0.500
Tm2 0.000 0.500 0.000
Tm3 0.500 0.000 0.000
Tm4 0.500 0.500 0.500
Pa1 0.250 0.250 0.750
Pa2 0.250 0.750 0.250
Pa3 0.750 0.250 0.250
Pa4 0.750 0.750 0.750
Ga1 0.250 0.250 0.250
Ga2 0.250 0.750 0.750
Ga3 0.750 0.250 0.750
Ga4 0.750 0.750 0.250
# E ... -22.575 eV per formula unit
# V ... 392.3 Å³/cell
# Density of states at the Fermi level ... 8.6 states/eV/f.u.
# Energy of formation from the pure elements ... 0.088 eV/atom
# Magnetization ... 1.7 μB/f.u.